A plane-wave DFT calculation with PBE was carried out for a relaxed Dy5Ga2 crystal.

Results
size of the total moment = 0.00 μB per atom
DFT total energy = -4.447 eV per atom
calculated formation energy = -0.29 eV per atom
crystal system = orthorhombic
space group = Ibam (72)

The structure in extended XYZ format:
```
14
Lattice="-3.959 7.184 3.246 3.959 -7.184 3.246 3.959 7.184 -3.246" Properties=species:S:1:pos:R:3 pbc="T T T"
Dy 3.959 3.832 -1.623
Dy 5.220 1.162 0.000
Dy 0.000 0.000 1.623
Dy 1.262 6.022 0.000
Dy 0.000 3.352 1.623
Dy 3.959 3.832 1.623
Dy 2.697 1.162 3.246
Dy 0.000 0.000 4.870
Dy -1.262 6.022 3.246
Dy 0.000 3.352 4.870
Ga 2.178 1.833 0.000
Ga 2.178 -1.833 3.246
Ga 1.781 9.018 0.000
Ga 1.781 5.351 3.246
```

---

A plane-wave DFT calculation with PBE was carried out for a relaxed DyGa4 crystal.

Results
size of the total moment = 0.00 μB per atom
DFT total energy = -2.684 eV per atom
calculated formation energy = 0.66 eV per atom
crystal system = cubic
space group = Pm-3m (221)

The structure in extended XYZ format:
```
5
Lattice="5.520 0.000 0.000 0.000 5.520 0.000 0.000 0.000 5.520" Properties=species:S:1:pos:R:3 pbc="T T T"
Dy 0.000 0.000 0.000
Ga 0.000 0.000 2.760
Ga 0.000 2.760 0.000
Ga 2.760 0.000 0.000
Ga 2.760 2.760 2.760
```

---

A plane-wave DFT calculation with PBE was carried out for a relaxed Dy3Ga2 crystal.

Results
size of the total moment = 0.00 μB per atom
DFT total energy = -4.379 eV per atom
calculated formation energy = -0.41 eV per atom
crystal system = orthorhombic
space group = Pnma (62)

The structure in extended XYZ format:
```
20
Lattice="12.213 0.000 0.000 0.000 3.672 0.000 0.000 0.000 11.796" Properties=species:S:1:pos:R:3 pbc="T T T"
Dy 0.392 0.918 1.496
Dy 1.563 2.754 6.302
Dy 2.871 0.918 9.110
Dy 3.235 2.754 3.212
Dy 4.543 0.918 0.404
Dy 5.715 2.754 7.394
Dy 6.498 0.918 4.402
Dy 7.670 2.754 11.392
Dy 8.978 0.918 8.584
Dy 9.342 2.754 2.686
Dy 10.650 0.918 5.494
Dy 11.822 2.754 10.300
Ga 0.014 2.754 3.757
Ga 2.228 2.754 11.790
Ga 3.879 0.918 5.892
Ga 6.092 0.918 9.655
Ga 6.121 2.754 2.141
Ga 8.335 2.754 5.904
Ga 9.985 0.918 0.006
Ga 12.199 0.918 8.039
```

---

A plane-wave DFT calculation with PBE was carried out for a relaxed Dy3Ga5 crystal.

Results
size of the total moment = 0.00 μB per atom
DFT total energy = -4.152 eV per atom
calculated formation energy = -0.53 eV per atom
crystal system = orthorhombic
space group = Fdd2 (43)

The structure in extended XYZ format:
```
16
Lattice="0.000 8.955 6.677 2.977 0.000 6.677 2.977 8.955 0.000" Properties=species:S:1:pos:R:3 pbc="T T T"
Dy 0.000 0.000 0.000
Dy 1.488 4.478 3.338
Dy 2.981 5.827 6.692
Dy 4.461 10.305 10.031
Dy 2.972 12.083 6.692
Dy 4.470 16.560 10.031
Ga 3.164 3.066 5.406
Ga 4.326 10.444 4.567
Ga 2.837 2.989 7.905
Ga 4.278 7.543 8.744
Ga 2.977 8.955 6.358
Ga 1.628 7.466 4.567
Ga 4.465 13.433 9.697
Ga 2.789 14.844 5.406
Ga 3.116 14.921 7.905
Ga 1.676 10.367 8.744
```

---

A plane-wave DFT calculation with PBE was carried out for a relaxed DyGa crystal.

Results
size of the total moment = 0.00 μB per atom
DFT total energy = -4.359 eV per atom
calculated formation energy = -0.54 eV per atom
crystal system = orthorhombic
space group = Cmcm (63)

The structure in extended XYZ format:
```
16
Lattice="8.804 0.000 0.000 0.000 7.332 0.000 0.000 0.000 5.596" Properties=species:S:1:pos:R:3 pbc="T T T"
Dy 1.657 1.129 1.399
Dy 1.657 6.203 4.197
Dy 2.745 2.537 4.197
Dy 2.745 4.795 1.399
Dy 6.058 2.537 4.197
Dy 6.058 4.795 1.399
Dy 7.147 1.129 1.399
Dy 7.147 6.203 4.197
Ga 0.000 1.334 4.197
Ga 0.000 3.666 0.000
Ga 0.000 3.666 2.798
Ga 0.000 5.998 1.399
Ga 4.402 0.000 0.000
Ga 4.402 0.000 2.798
Ga 4.402 2.332 1.399
Ga 4.402 5.000 4.197
```

---

A plane-wave DFT calculation with PBE was carried out for a relaxed DyGa2 crystal.

Results
size of the total moment = 0.00 μB per atom
DFT total energy = -3.925 eV per atom
calculated formation energy = -0.37 eV per atom
crystal system = monoclinic
space group = C2/m (12)

The structure in extended XYZ format:
```
6
Lattice="5.858 0.000 0.000 0.000 5.761 0.000 -1.588 0.000 3.987" Properties=species:S:1:pos:R:3 pbc="T T T"
Dy 0.000 0.000 0.000
Dy 2.929 2.881 0.000
Ga 0.232 2.881 1.261
Ga 1.110 0.000 2.726
Ga 3.161 0.000 1.261
Ga 4.039 2.881 2.726
```

---

A plane-wave DFT calculation with PBE was carried out for a relaxed Dy5Ga3 crystal.

Results
size of the total moment = 0.00 μB per atom
DFT total energy = -4.496 eV per atom
calculated formation energy = -0.48 eV per atom
crystal system = tetragonal
space group = I4/mcm (140)

The structure in extended XYZ format:
```
16
Lattice="-5.838 5.838 2.962 5.838 -5.838 2.962 5.838 5.838 -2.962" Properties=species:S:1:pos:R:3 pbc="T T T"
Dy 9.181 0.993 0.000
Dy 0.993 2.494 0.000
Dy 5.838 0.000 1.481
Dy 6.830 3.344 0.000
Dy 3.344 4.845 0.000
Dy 2.494 0.993 2.962
Dy -0.993 2.494 2.962
Dy 0.000 5.838 1.481
Dy 4.845 3.344 2.962
Dy -3.344 4.845 2.962
Ga 3.978 1.860 0.000
Ga 0.000 0.000 1.481
Ga 3.978 -1.860 2.962
Ga 1.860 7.698 0.000
Ga 0.000 0.000 4.443
Ga 1.860 3.978 2.962
```

---

A plane-wave DFT calculation with PBE was carried out for a relaxed Dy5Ga3 crystal.

Results
size of the total moment = 0.00 μB per atom
DFT total energy = -4.501 eV per atom
calculated formation energy = -0.49 eV per atom
crystal system = tetragonal
space group = I4/mcm (140)

The structure in extended XYZ format:
```
16
Lattice="-3.804 3.804 7.117 3.804 -3.804 7.117 3.804 3.804 -7.117" Properties=species:S:1:pos:R:3 pbc="T T T"
Dy 0.000 0.000 0.000
Dy 5.099 1.294 -2.103
Dy 1.294 2.510 -2.103
Dy 5.099 1.294 2.103
Dy 1.294 2.510 2.103
Dy 0.000 0.000 7.117
Dy 2.510 1.294 5.014
Dy -1.294 2.510 5.014
Dy 2.510 1.294 9.220
Dy -1.294 2.510 9.220
Ga 2.877 0.928 0.000
Ga 0.000 0.000 3.559
Ga 2.877 -0.928 7.117
Ga 0.928 4.732 0.000
Ga 0.000 0.000 10.676
Ga 0.928 2.877 7.117
```